Density functional theory data (PBE) for crystalline Mn2VCoSe at its relaxed geometry.

## Properties
The density of states at the Fermi level comes out at 0.82 states/eV per atom. The value obtained for the raw formation energy is 0.72 eV per atom. As for the crystal system: tetragonal. Its raw total energy is -34.437 eV for the cell shown.

Cell lengths 4.5655, 4.5655, 4.2911 Å; angles 90.00, 90.00, 90.00 degrees
Sites, in units of the cell vectors:
1 Mn 0.0000 0.5000 0.0000
2 Mn 0.5000 0.0000 0.0000
3 V 0.0000 0.0000 0.5000
4 Co 0.5000 0.5000 0.0000
5 Se 0.5000 0.5000 0.5000